# 1
VASP calculation (PBE with a Hubbard U) on an optimized crystal structure of CoPtF6.

Lattice parameters (Å, degrees): 4.9962 4.9962 9.3405 90.00 90.00 120.00
Each line ends with the local moment (μB).
Atoms (fractional coordinates):
Co 0.3333 0.6667 0.2500  2.78
Co 0.6667 0.3333 0.7500  2.78
Pt 0.0000 0.0000 0.5000  0.05
Pt 0.0000 0.0000 0.0000  0.05
F 0.3217 0.3271 0.3780  0.03
F 0.6783 0.6729 0.6220  0.03
F 0.0054 0.6783 0.3780  0.03
F 0.3217 0.9946 0.1220  0.03
F 0.9946 0.3217 0.6220  0.03
F 0.6783 0.0054 0.8780  0.03
F 0.6729 0.9946 0.3780  0.03
F 0.0054 0.3271 0.1220  0.03
F 0.3271 0.0054 0.6220  0.03
F 0.9946 0.6729 0.8780  0.03
F 0.6729 0.6783 0.1220  0.03
F 0.3271 0.3217 0.8780  0.03

Values from the calculation:
space-group type: P-31c



# 2
VASP calculation (PBE with a Hubbard U) on an optimized crystal structure of Co2PtF.

Lattice parameters (Å, degrees): 6.1660 6.1660 5.2850 54.31 54.31 90.00
Each line ends with the local moment (μB).
Atoms (fractional coordinates):
Co 0.5642 0.1250 0.2500  2.45
Co 0.1858 0.6250 0.2500  2.46
Co 0.3750 0.4358 0.7500  2.46
Co 0.8750 0.8142 0.7500  2.40
Pt 0.0000 0.0000 0.0000  0.23
Pt 0.7500 0.2500 0.5000  0.24
F 0.5000 0.5000 0.0000  0.07
F 0.2500 0.7500 0.5000  0.07

Values from the calculation:
energy above the lowest structure with this stoichiometry: 0.0000 eV/atom
space-group type: I-42d



# 3
VASP calculation (PBE with a Hubbard U) on an optimized crystal structure of Rb2CoPtF6.

Lattice parameters (Å, degrees): 6.0985 6.0985 6.0734 59.86 59.86 90.00
Each line ends with the local moment (μB).
Atoms (fractional coordinates):
Co 0.5000 0.5000 0.0000  2.63
Rb 0.7500 0.2500 0.5000  0.00
Rb 0.2500 0.7500 0.5000  0.00
Pt 0.0000 0.0000 0.0000  -1.42
F 0.2645 0.2645 0.4709  -0.03
F 0.7355 0.7355 0.5291  -0.03
F 0.2596 0.2596 0.0000  -0.04
F 0.7404 0.7404 0.0000  -0.04
F 0.7404 0.2596 0.0000  -0.04
F 0.2596 0.7404 0.0000  -0.04

Values from the calculation:
space-group type: I4/mmm



# 4
VASP calculation (PBE with a Hubbard U) on an optimized crystal structure of TlCoPtF6.

Lattice parameters (Å, degrees): 5.5508 5.7345 5.9696 90.48 90.34 59.03
Each line ends with the local moment (μB).
Atoms (fractional coordinates):
Tl 0.0048 0.9976 0.9998  0.01
Co 0.6503 0.6750 0.5001  2.78
Pt 0.3263 0.3366 0.4999  0.68
F 0.0023 0.3548 0.3304  0.03
F 0.3816 0.9700 0.7046  0.15
F 0.6262 0.3624 0.6712  0.03
F 0.0041 0.6419 0.6694  0.03
F 0.3795 0.6496 0.2960  0.15
F 0.6246 0.0121 0.3285  0.03

Values from the calculation:
space-group type: P1



Number 1: total energy -4.43 eV per atom. Number 2: total energy -4.71 eV per atom. Number 3: total energy -4.34 eV per atom. Number 4: total energy -4.38 eV per atom.